Density functional theory data (PBE-GGA) for a relaxed SiRu2Pb crystal.

Cell lengths 2.9382, 3.8088, 6.1989 Å; angles 90.00, 90.00, 90.00 degrees
Sites, in units of the cell vectors:
Ru (0.0000, 0.0000, 0.0167)
Ru (0.5000, 0.5000, 0.3135)
Si (0.0000, 0.0000, 0.3887)
Pb (0.5000, 0.5000, 0.7811)

Output
- DOS(E_F): 3.88 states/eV/cell
- Formation energy from raw total energies: 0.168 eV/atom
- E above lowest polymorph: 184 meV/atom
- Total energy: -6.753 eV per atom
- Space-group type: Pmm2 (25)

=====

Density functional theory data (PBE-GGA) for a relaxed SiRuPb2 crystal.

Cell lengths 5.0955, 5.0955, 3.2982 Å; angles 90.00, 90.00, 100.95 degrees
Sites, in units of the cell vectors:
Pb (0.5000, 0.5000, 0.0000)
Pb (0.0000, 0.0000, 0.0000)
Si (0.0000, 0.5000, 0.5000)
Ru (0.5000, 0.0000, 0.5000)

Output
- DOS(E_F): 3.94 states/eV/cell
- Formation energy from raw total energies: 0.678 eV/atom
- Total energy: -4.850 eV per atom
- Space-group type: Cmmm (65)

=====

Density functional theory data (PBE-GGA) for a relaxed SiRuPb3 crystal.

Cell lengths 5.2470, 5.2470, 5.2470 Å; angles 90.00, 90.00, 90.00 degrees
Each line ends with the local moment (μB).
Sites, in units of the cell vectors:
Si (0.5000, 0.5000, 0.5000)  0.16
Pb (0.0000, 0.5000, 0.0000)  0.01
Pb (0.0000, 0.0000, 0.5000)  0.00
Pb (0.5000, 0.0000, 0.0000)  0.01
Ru (0.0000, 0.0000, 0.0000)  0.13

Output
- DOS(E_F): 4.96 states/eV/cell
- Formation energy from raw total energies: 0.634 eV/atom
- E above lowest polymorph: 0 meV/atom
- Total energy: -4.531 eV per atom
- Space-group type: Pm-3m (221)

=====

Density functional theory data (PBE-GGA) for a relaxed SiRu2Pb crystal.

Cell lengths 5.1363, 5.1363, 3.0652 Å; angles 73.82, 73.82, 107.50 degrees
Sites, in units of the cell vectors:
Pb (0.0000, 0.5000, 0.5000)
Ru (0.0000, 0.0000, 0.0000)
Ru (0.5000, 0.5000, 0.0000)
Si (0.5000, 0.0000, 0.5000)

Output
- DOS(E_F): 3.39 states/eV/cell
- Formation energy from raw total energies: 0.490 eV/atom
- E above lowest polymorph: 506 meV/atom
- Total energy: -6.431 eV per atom
- Space-group type: C2/m (12)

=====

Density functional theory data (PBE-GGA) for a relaxed SiRu2Pb crystal.

Cell lengths 4.7149, 4.7149, 4.7149 Å; angles 132.40, 118.50, 81.29 degrees
Sites, in units of the cell vectors:
Ru (0.5405, 0.5405, 0.0000)
Ru (0.9595, 0.9595, 0.0000)
Pb (0.2500, 0.7500, 0.5000)
Si (0.7500, 0.2500, 0.5000)

Output
- DOS(E_F): 4.23 states/eV/cell
- Formation energy from raw total energies: 0.187 eV/atom
- E above lowest polymorph: 203 meV/atom
- Total energy: -6.733 eV per atom
- Space-group type: Immm (71)

=====

Density functional theory data (PBE-GGA) for a relaxed SrSi2RuPb crystal.

Cell lengths 4.6909, 5.7739, 4.6909 Å; angles 90.00, 90.00, 90.00 degrees
Each line ends with the local moment (μB).
Sites, in units of the cell vectors:
Si (0.0000, 0.0000, 0.5000)  0.01
Si (0.5000, 0.0000, 0.0000)  0.02
Sr (0.0000, 0.5000, 0.0000)  0.06
Ru (0.0000, 0.0000, 0.0000)  0.28
Pb (0.5000, 0.5000, 0.5000)  0.29

Output
- DOS(E_F): 7.07 states/eV/cell
- Formation energy from raw total energies: 0.146 eV/atom
- Total energy: -4.957 eV per atom
- Space-group type: P4/mmm (123)

=====

Density functional theory data (PBE-GGA) for a relaxed Zr2SiRuPb crystal.

Cell lengths 5.3741, 4.7702, 5.3741 Å; angles 90.00, 90.00, 90.00 degrees
Sites, in units of the cell vectors:
Ru (0.5000, 0.5000, 0.5000)
Pb (0.0000, 0.0000, 0.0000)
Zr (0.5000, 0.0000, 0.0000)
Zr (0.0000, 0.0000, 0.5000)
Si (0.0000, 0.5000, 0.0000)

Output
- DOS(E_F): 5.07 states/eV/cell
- Formation energy from raw total energies: 1.836 eV/atom
- Total energy: -5.264 eV per atom
- Space-group type: P4/mmm (123)

=====

Density functional theory data (PBE-GGA) for a relaxed Sm3RuPb crystal.

Cell lengths 4.6710, 6.3981, 10.2548 Å; angles 97.30, 90.00, 111.41 degrees
Sites, in units of the cell vectors:
Sm (0.8565, 0.7131, 0.3852)
Sm (0.1232, 0.2464, 0.1674)
Sm (0.3970, 0.7939, 0.1115)
Sm (0.8768, 0.7536, 0.8326)
Sm (0.1435, 0.2869, 0.6148)
Sm (0.6030, 0.2061, 0.8885)
Ru (0.7649, 0.5299, 0.1159)
Ru (0.2351, 0.4701, 0.8841)
Pb (0.4183, 0.8365, 0.6134)
Pb (0.5817, 0.1635, 0.3866)

Output
- DOS(E_F): 6.04 states/eV/cell
- Energy relative to the elements: -363.5 meV/atom
- E above lowest polymorph: 0 meV/atom
- Total energy: -5.792 eV per atom
- Space-group type: C2/m (12)

=====

Density functional theory data (PBE-GGA) for a relaxed Sm3RuPb crystal.

Cell lengths 5.3852, 5.3852, 5.3852 Å; angles 90.00, 90.00, 90.00 degrees
Sites, in units of the cell vectors:
Ru (0.0000, 0.0000, 0.0000)
Pb (0.5000, 0.5000, 0.5000)
Sm (0.0000, 0.5000, 0.0000)
Sm (0.0000, 0.0000, 0.5000)
Sm (0.5000, 0.0000, 0.0000)

Output
- DOS(E_F): 3.16 states/eV/cell
- Energy relative to the elements: -224.7 meV/atom
- E above lowest polymorph: 139 meV/atom
- Total energy: -5.653 eV per atom
- Space-group type: Pm-3m (221)

=====

Density functional theory data (PBE-GGA) for a relaxed Sm12Ru6Pb crystal.

Cell lengths 8.7177, 8.7177, 8.7177 Å; angles 109.47, 109.47, 109.47 degrees
Sites, in units of the cell vectors:
Ru (0.5000, 0.8785, 0.3785)
Ru (0.8785, 0.3785, 0.5000)
Ru (0.1215, 0.6215, 0.5000)
Ru (0.6215, 0.5000, 0.1215)
Ru (0.5000, 0.1215, 0.6215)
Ru (0.3785, 0.5000, 0.8785)
Sm (0.4940, 0.1957, 0.2983)
Sm (0.1026, 0.8043, 0.2983)
Sm (0.8974, 0.1957, 0.7017)
Sm (0.1957, 0.2983, 0.4940)
Sm (0.1957, 0.7017, 0.8974)
Sm (0.8043, 0.2983, 0.1026)
Sm (0.7017, 0.8974, 0.1957)
Sm (0.2983, 0.1026, 0.8043)
Sm (0.5060, 0.8043, 0.7017)
Sm (0.8043, 0.7017, 0.5060)
Sm (0.2983, 0.4940, 0.1957)
Sm (0.7017, 0.5060, 0.8043)
Pb (0.0000, 0.0000, 0.0000)

Output
- DOS(E_F): 19.42 states/eV/cell
- Energy relative to the elements: -239.3 meV/atom
- Total energy: -6.344 eV per atom
- Space-group type: Im-3 (204)

=====

Density functional theory data (PBE-GGA) for a relaxed Sm12Ru5Pb crystal.

Cell lengths 8.5956, 8.5956, 8.5956 Å; angles 105.38, 112.63, 110.48 degrees
Sites, in units of the cell vectors:
Ru (0.3345, 0.3345, 0.0000)
Ru (0.5000, 0.1210, 0.6210)
Ru (0.5000, 0.8790, 0.3790)
Ru (0.6655, 0.6655, 0.0000)
Ru (0.0000, 0.0000, 0.0000)
Sm (0.6851, 0.3266, 0.0116)
Sm (0.4540, 0.1780, 0.2760)
Sm (0.6851, 0.6734, 0.3585)
Sm (0.8094, 0.0369, 0.2275)
Sm (0.1906, 0.4181, 0.2275)
Sm (0.8094, 0.5819, 0.7725)
Sm (0.5460, 0.8220, 0.7240)
Sm (0.3149, 0.3266, 0.6415)
Sm (0.1906, 0.9631, 0.7725)
Sm (0.9020, 0.1780, 0.7240)
Sm (0.0980, 0.8220, 0.2760)
Sm (0.3149, 0.6734, 0.9884)
Pb (0.0000, 0.5000, 0.5000)

Output
- DOS(E_F): 16.40 states/eV/cell
- Energy relative to the elements: -290.9 meV/atom
- Total energy: -6.220 eV per atom
- Space-group type: Immm (71)

=====

Density functional theory data (PBE-GGA) for a relaxed SmRuPb2 crystal.

Cell lengths 5.2844, 5.2844, 7.6711 Å; angles 69.85, 69.85, 60.00 degrees
Each line ends with the local moment (μB).
Sites, in units of the cell vectors:
Pb (0.1250, 0.1250, 0.6249)  -0.03
Pb (0.8750, 0.8750, 0.3751)  -0.03
Ru (0.0000, 0.0000, 0.0000)  2.05
Sm (0.5000, 0.5000, 0.5000)  -0.04

Output
- DOS(E_F): 6.65 states/eV/cell
- Energy relative to the elements: 1234.5 meV/atom
- Total energy: -4.118 eV per atom
- Space-group type: R-3m (166)